Entry 1:
Crystalline SrMgCd2 at its relaxed geometry, computed with PBE. Values from VASP.

Calculated values
- Calculated total energy: -1.488 eV/atom

```
&SYSTEM
  ibrav = 0, nat = 4, ntyp = 3
/
ATOMIC_SPECIES
Sr 87.62 Sr.upf
Mg 24.30 Mg.upf
Cd 112.41 Cd.upf
CELL_PARAMETERS angstrom
3.583 0.000 0.000
0.000 3.914 0.000
-0.056 0.000 7.773
ATOMIC_POSITIONS crystal
Sr 0.000 0.000 0.000
Mg 0.000 0.000 0.500
Cd 0.500 0.500 0.293
Cd 0.500 0.500 0.707
```

Entry 2:
Crystalline Sr2MgCd at its relaxed geometry, computed with PBE. Values from VASP.

Calculated values
- E above lowest polymorph: 0.000 eV/f.u.

```
&SYSTEM
  ibrav = 0, nat = 4, ntyp = 3
/
ATOMIC_SPECIES
Sr 87.62 Sr.upf
Mg 24.30 Mg.upf
Cd 112.41 Cd.upf
CELL_PARAMETERS angstrom
4.039 0.000 0.000
0.000 4.039 0.000
0.000 0.000 8.551
ATOMIC_POSITIONS crystal
Sr 0.000 0.000 0.239
Sr 0.000 0.000 0.761
Mg 0.500 0.500 0.500
Cd 0.500 0.500 0.000
```

Entry 3:
Crystalline SrMg10Cd2 at its relaxed geometry, computed with PBE. Values from VASP.

Calculated values
- Calculated total energy: -1.580 eV/atom

```
&SYSTEM
  ibrav = 0, nat = 13, ntyp = 3
/
ATOMIC_SPECIES
Sr 87.62 Sr.upf
Mg 24.30 Mg.upf
Cd 112.41 Cd.upf
CELL_PARAMETERS angstrom
0.000 7.283 7.288
3.003 0.000 7.288
3.003 7.283 0.000
ATOMIC_POSITIONS crystal
Sr 0.000 0.000 0.000
Mg 0.000 0.500 0.000
Mg 0.004 0.647 0.353
Mg 0.282 0.503 0.497
Mg 0.353 0.996 0.004
Mg 0.497 0.718 0.282
Mg 0.500 0.000 0.500
Mg 0.503 0.282 0.718
Mg 0.647 0.004 0.996
Mg 0.718 0.497 0.503
Mg 0.996 0.353 0.647
Cd 0.000 0.000 0.500
Cd 0.500 0.500 0.000
```

| no. | spin magnetization (Bohr magnetons per cell) | Fermi-level density of states (states/eV/f.u.) |
| --- | --- | --- |
| 1 | 0.00 | 2.10 |
| 2 | 0.00 | 3.68 |
| 3 | 0.00 | 5.86 |